A plane-wave DFT calculation with PBE was carried out for a relaxed LuPd4Au crystal.

Lattice parameters (Å, degrees): 5.2984 5.2984 5.2984 60.00 60.00 60.00
With the nearest neighbours (Å) after each atom.
Fractional positions:
Pd  0.1245  0.6252  0.6252  6 Pd 2.65
Pd  0.6252  0.1245  0.6252  6 Pd 2.65
Pd  0.6252  0.6252  0.6252  6 Pd 2.65
Pd  0.6252  0.6252  0.1245  6 Pd 2.65
Au  0.0000  0.0000  0.0000  12 Pd 3.11, 4 Lu 3.24
Lu  0.2500  0.2500  0.2500  12 Pd 3.11, 4 Au 3.24

Results
**DFT formation energy**: -0.553 eV/atom
**Fermi-level density of states**: 5.72 states/eV/cell
**ρ**: 12.59 g/cm3
**Size of the total moment**: 0.00 Bohr magnetons per cell